(1)
DFT (PBE) results for a relaxed structure of La2P2RhN6.

Computed properties:
Its density of states at the Fermi level is 8.236 states/eV per cell. The calculation puts the calculated volume at 140.7 Å³/cell. The uncorrected formation energy is -0.622 eV/atom. As for the space group: R-3m (166).

Cell and atoms, written as POSCAR:
```
La2P2RhN6
1.0
2.7585 1.5926 5.3367
-2.7585 1.5926 5.3367
0.0000 -3.1852 5.3367
La P Rh N
2 2 1 6
direct
0.2212 0.2212 0.2212
0.7788 0.7788 0.7788
0.4325 0.4325 0.4325
0.5675 0.5675 0.5675
0.0000 0.0000 0.0000
0.2470 0.7504 0.7504
0.2496 0.2496 0.7530
0.2496 0.7530 0.2496
0.7504 0.2470 0.7504
0.7504 0.7504 0.2470
0.7530 0.2496 0.2496
```

(2)
DFT (PBE) results for a relaxed structure of LaPRh2N.

Computed properties:
Its density of states at the Fermi level is 2.455 states/eV per cell. The calculation puts the calculated volume at 143.0 Å³/cell. The uncorrected formation energy is 2.095 eV/atom. As for the space group: P4/mmm (123).

Cell and atoms, written as POSCAR:
```
LaPRh2N
1.0
4.8999 0.0000 0.0000
0.0000 4.8999 0.0000
0.0000 0.0000 5.9540
La P Rh N
1 1 2 1
direct
0.0000 0.0000 0.0000
0.0000 0.0000 0.5000
0.0000 0.5000 0.0000
0.5000 0.0000 0.0000
0.5000 0.5000 0.5000
```

(3)
DFT (PBE) results for a relaxed structure of LaPRuN.

Computed properties:
Its density of states at the Fermi level is 2.984 states/eV per cell. The calculation puts the calculated volume at 128.9 Å³/cell. The uncorrected formation energy is -1.207 eV/atom. As for the space group: P4/nmm (129).

Cell and atoms, written as POSCAR:
```
LaPRuN
1.0
4.0098 0.0000 0.0000
0.0000 4.0098 0.0000
0.0000 0.0000 8.0181
La P Ru N
2 2 2 2
direct
0.2500 0.2500 0.1665
0.7500 0.7500 0.8335
0.2500 0.2500 0.6485
0.7500 0.7500 0.3515
0.2500 0.7500 0.5000
0.7500 0.2500 0.5000
0.2500 0.2500 0.8610
0.7500 0.7500 0.1390
```

(4)
DFT (PBE) results for a relaxed structure of La2P2Ru2N.

Computed properties:
Its density of states at the Fermi level is 3.922 states/eV per cell. The calculation puts the calculated volume at 127.7 Å³/cell. The uncorrected formation energy is -1.028 eV/atom. As for the space group: C2/m (12).

Cell and atoms, written as POSCAR:
```
La2P2Ru2N
1.0
5.7426 -1.9737 0.0000
5.7426 1.9737 0.0000
-4.0108 0.0000 5.6352
La P Ru N
2 2 2 1
direct
0.0599 0.0599 0.2997
0.9401 0.9401 0.7003
0.3142 0.3142 0.2742
0.6858 0.6858 0.7258
0.3014 0.3014 0.9166
0.6986 0.6986 0.0834
0.5000 0.5000 0.0000
```

(5)
DFT (PBE) results for a relaxed structure of LaPS2N.

Computed properties:
Its density of states at the Fermi level is 2.242 states/eV per cell. The calculation puts the calculated volume at 83.9 Å³/cell. The uncorrected formation energy is -0.543 eV/atom. As for the space group: P4/mmm (123). The polymorph energy (0 for the lowest one) comes out at 0 meV/atom.

Cell and atoms, written as POSCAR:
```
LaPS2N
1.0
4.8161 0.0000 0.0000
0.0000 4.8161 0.0000
0.0000 0.0000 3.6169
La P S N
1 1 2 1
direct
0.0000 0.0000 0.0000
0.5000 0.5000 0.5000
0.0000 0.5000 0.5000
0.5000 0.0000 0.5000
0.5000 0.5000 0.0000
```

(6)
DFT (PBE) results for a relaxed structure of LaPS2N.

Computed properties:
Its density of states at the Fermi level is 3.466 states/eV per cell. The calculation puts the calculated volume at 84.2 Å³/cell. The uncorrected formation energy is -0.115 eV/atom. As for the space group: P4/mmm (123). The polymorph energy (0 for the lowest one) comes out at 428 meV/atom.

Cell and atoms, written as POSCAR:
```
LaPS2N
1.0
4.5201 0.0000 0.0000
0.0000 4.5201 0.0000
0.0000 0.0000 4.1200
La P S N
1 1 2 1
direct
0.0000 0.0000 0.0000
0.5000 0.5000 0.0000
0.0000 0.5000 0.5000
0.5000 0.0000 0.5000
0.5000 0.5000 0.5000
```

(7)
DFT (PBE) results for a relaxed structure of LaPS2N.

Computed properties:
Its density of states at the Fermi level is 4.237 states/eV per cell. The calculation puts the calculated volume at 127.0 Å³/cell. The uncorrected formation energy is 0.836 eV/atom. As for the space group: P4/mmm (123). The polymorph energy (0 for the lowest one) comes out at 1379 meV/atom.

Cell and atoms, written as POSCAR:
```
LaPS2N
1.0
5.5920 0.0000 0.0000
0.0000 5.5920 0.0000
0.0000 0.0000 4.0629
La P S N
1 1 2 1
direct
0.0000 0.0000 0.0000
0.5000 0.5000 0.5000
0.0000 0.5000 0.0000
0.5000 0.0000 0.0000
0.0000 0.0000 0.5000
```

(8)
DFT (PBE) results for a relaxed structure of LaPS2N.

Computed properties:
Its density of states at the Fermi level is 5.283 states/eV per cell. The calculation puts the calculated volume at 188.0 Å³/cell. The uncorrected formation energy is 1.143 eV/atom. As for the space group: P4/mmm (123). The polymorph energy (0 for the lowest one) comes out at 1686 meV/atom.

Cell and atoms, written as POSCAR:
```
LaPS2N
1.0
5.5905 0.0000 0.0000
0.0000 5.5905 0.0000
0.0000 0.0000 6.0138
La P S N
1 1 2 1
direct
0.0000 0.0000 0.0000
0.0000 0.0000 0.5000
0.0000 0.5000 0.0000
0.5000 0.0000 0.0000
0.5000 0.5000 0.5000
```

(9)
DFT (PBE) results for a relaxed structure of La3PSN.

Computed properties:
Its density of states at the Fermi level is 5.731 states/eV per cell. The calculation puts the calculated volume at 329.5 Å³/cell. The uncorrected formation energy is -1.615 eV/atom. As for the space group: P2_1/m (11).

Cell and atoms, written as POSCAR:
```
La3PSN
1.0
8.5572 0.0000 0.0000
0.0000 4.1312 0.0000
-1.6231 0.0000 9.3207
La P S N
6 2 2 2
direct
0.0884 0.2500 0.3410
0.3211 0.2500 0.9796
0.4016 0.7500 0.6566
0.5984 0.2500 0.3434
0.6789 0.7500 0.0204
0.9116 0.7500 0.6590
0.1532 0.2500 0.6498
0.8468 0.7500 0.3502
0.3296 0.7500 0.3059
0.6704 0.2500 0.6941
0.4147 0.7500 0.8974
0.5853 0.2500 0.1026
```

(10)
DFT (PBE) results for a relaxed structure of La3SbPN.

Computed properties:
Its density of states at the Fermi level is 1.060 states/eV per cell. The calculation puts the calculated volume at 368.0 Å³/cell. The uncorrected formation energy is -1.359 eV/atom. As for the space group: P2_1/m (11).

Cell and atoms, written as POSCAR:
```
La3SbPN
1.0
9.0202 0.0000 0.0000
0.0000 4.3428 0.0000
-2.1718 0.0000 9.3935
La Sb P N
6 2 2 2
direct
0.0695 0.2500 0.3424
0.3356 0.2500 0.9788
0.3944 0.7500 0.6607
0.6056 0.2500 0.3393
0.6644 0.7500 0.0212
0.9305 0.7500 0.6576
0.3102 0.7500 0.2736
0.6898 0.2500 0.7264
0.1551 0.2500 0.6473
0.8449 0.7500 0.3527
0.4119 0.7500 0.8967
0.5881 0.2500 0.1033
```

(11)
DFT (PBE) results for a relaxed structure of LaScPN2.

Computed properties:
Its density of states at the Fermi level is 3.481 states/eV per cell. The calculation puts the calculated volume at 165.0 Å³/cell. The uncorrected formation energy is 0.374 eV/atom. As for the space group: P4/mmm (123).

Cell and atoms, written as POSCAR:
```
LaScPN2
1.0
4.0812 0.0000 0.0000
0.0000 4.0812 0.0000
0.0000 0.0000 9.9059
La Sc P N
1 1 1 2
direct
0.0000 0.0000 0.0000
0.0000 0.0000 0.5000
0.5000 0.5000 0.0000
0.0000 0.5000 0.5000
0.5000 0.0000 0.5000
```

(12)
DFT (PBE) results for a relaxed structure of LaPSeN2.

Computed properties:
Its density of states at the Fermi level is 1.588 states/eV per cell. The calculation puts the calculated volume at 75.8 Å³/cell. The uncorrected formation energy is 0.112 eV/atom. As for the space group: P4/mmm (123). The polymorph energy (0 for the lowest one) comes out at 0 meV/atom.

Cell and atoms, written as POSCAR:
```
LaPSeN2
1.0
4.0026 0.0000 0.0000
0.0000 4.0026 0.0000
0.0000 0.0000 4.7332
La P Se N
1 1 1 2
direct
0.0000 0.0000 0.0000
0.5000 0.5000 0.5000
0.5000 0.5000 0.0000
0.0000 0.5000 0.5000
0.5000 0.0000 0.5000
```

(13)
DFT (PBE) results for a relaxed structure of La4PSe2N.

Computed properties:
Its density of states at the Fermi level is 3.047 states/eV per cell. The calculation puts the calculated volume at 205.5 Å³/cell. The uncorrected formation energy is -1.712 eV/atom. As for the space group: P2/m (10).

Cell and atoms, written as POSCAR:
```
La4PSe2N
1.0
7.1363 0.0000 0.0000
0.0000 4.1129 0.0000
-2.3702 0.0000 7.0009
La P Se N
4 1 2 1
direct
0.2210 0.0000 0.2115
0.2404 0.5000 0.7787
0.7596 0.5000 0.2213
0.7790 0.0000 0.7885
0.5000 0.0000 0.0000
0.0000 0.0000 0.5000
0.5000 0.5000 0.5000
0.0000 0.5000 0.0000
```

(14)
DFT (PBE) results for a relaxed structure of LaPSe2N.

Computed properties:
Its density of states at the Fermi level is 2.715 states/eV per cell. The calculation puts the calculated volume at 95.9 Å³/cell. The uncorrected formation energy is -0.393 eV/atom. As for the space group: P4/mmm (123). The polymorph energy (0 for the lowest one) comes out at 0 meV/atom.

Cell and atoms, written as POSCAR:
```
LaPSe2N
1.0
5.1483 0.0000 0.0000
0.0000 5.1483 0.0000
0.0000 0.0000 3.6174
La P Se N
1 1 2 1
direct
0.0000 0.0000 0.0000
0.5000 0.5000 0.5000
0.0000 0.5000 0.5000
0.5000 0.0000 0.5000
0.5000 0.5000 0.0000
```

(15)
DFT (PBE) results for a relaxed structure of La8P3Se4N.

Computed properties:
Its density of states at the Fermi level is 5.688 states/eV per cell. The calculation puts the calculated volume at 430.6 Å³/cell. The uncorrected formation energy is -1.778 eV/atom. As for the space group: R-3m (166).

Cell and atoms, written as POSCAR:
```
La8P3Se4N
1.0
4.1993 2.4245 7.0489
-4.1993 2.4245 7.0489
0.0000 -4.8489 7.0489
La P Se N
8 3 4 1
direct
0.2447 0.2447 0.2447
0.2579 0.7315 0.7315
0.2685 0.2685 0.7421
0.2685 0.7421 0.2685
0.7315 0.2579 0.7315
0.7315 0.7315 0.2579
0.7421 0.2685 0.2685
0.7553 0.7553 0.7553
0.0000 0.0000 0.5000
0.0000 0.5000 0.0000
0.5000 0.0000 0.0000
0.0000 0.0000 0.0000
0.0000 0.5000 0.5000
0.5000 0.0000 0.5000
0.5000 0.5000 0.0000
0.5000 0.5000 0.5000
```

(16)
DFT (PBE) results for a relaxed structure of LaPSeN2.

Computed properties:
Its density of states at the Fermi level is 3.068 states/eV per cell. The calculation puts the calculated volume at 112.2 Å³/cell. The uncorrected formation energy is 1.086 eV/atom. As for the space group: P4/mmm (123). The polymorph energy (0 for the lowest one) comes out at 974 meV/atom.

Cell and atoms, written as POSCAR:
```
LaPSeN2
1.0
4.1102 0.0000 0.0000
0.0000 4.1102 0.0000
0.0000 0.0000 6.6427
La P Se N
1 1 1 2
direct
0.0000 0.0000 0.0000
0.5000 0.5000 0.5000
0.0000 0.0000 0.5000
0.0000 0.5000 0.0000
0.5000 0.0000 0.0000
```

(17)
DFT (PBE) results for a relaxed structure of La6P2Se3N.

Computed properties:
Its density of states at the Fermi level is 5.270 states/eV per cell. The calculation puts the calculated volume at 317.1 Å³/cell. The uncorrected formation energy is -1.762 eV/atom. As for the space group: C2/m (12).

Cell and atoms, written as POSCAR:
```
La6P2Se3N
1.0
3.6161 -6.2488 0.0000
3.6161 6.2488 0.0000
-2.4151 0.0000 7.0170
La P Se N
6 2 3 1
direct
0.0734 0.3864 0.2209
0.2384 0.2384 0.7761
0.3864 0.0734 0.2209
0.6136 0.9266 0.7791
0.7616 0.7616 0.2239
0.9266 0.6136 0.7791
0.3340 0.6660 0.0000
0.6660 0.3340 0.0000
0.1729 0.8271 0.5000
0.5000 0.5000 0.5000
0.8271 0.1729 0.5000
0.0000 0.0000 0.0000
```

(18)
DFT (PBE) results for a relaxed structure of LaPSe2N.

Computed properties:
Its density of states at the Fermi level is 8.567 states/eV per cell. The calculation puts the calculated volume at 140.8 Å³/cell. The uncorrected formation energy is 0.749 eV/atom. As for the space group: P4/mmm (123). The polymorph energy (0 for the lowest one) comes out at 1142 meV/atom.

Cell and atoms, written as POSCAR:
```
LaPSe2N
1.0
5.8632 0.0000 0.0000
0.0000 5.8632 0.0000
0.0000 0.0000 4.0964
La P Se N
1 1 2 1
direct
0.0000 0.0000 0.0000
0.5000 0.5000 0.5000
0.0000 0.5000 0.0000
0.5000 0.0000 0.0000
0.0000 0.0000 0.5000
```

(19)
DFT (PBE) results for a relaxed structure of LaSiP2N6.

Computed properties:
Its density of states at the Fermi level is 5.776 states/eV per cell. The calculation puts the calculated volume at 246.1 Å³/cell. The uncorrected formation energy is -0.707 eV/atom. As for the space group: C2/c (15).

Cell and atoms, written as POSCAR:
```
LaSiP2N6
1.0
4.6631 -5.2236 0.0000
4.6631 5.2236 0.0000
-1.9311 0.0000 5.0524
La Si P N
2 2 4 12
direct
0.1605 0.8395 0.7500
0.8395 0.1605 0.2500
0.3040 0.6960 0.2500
0.6960 0.3040 0.7500
0.1625 0.3243 0.8379
0.3243 0.1625 0.3379
0.6757 0.8375 0.6621
0.8375 0.6757 0.1621
0.0658 0.6527 0.2850
0.1710 0.2054 0.0742
0.2054 0.1710 0.5742
0.2997 0.5445 0.9491
0.3473 0.9342 0.2150
0.4555 0.7003 0.5509
0.5445 0.2997 0.4491
0.6527 0.0658 0.7850
0.7003 0.4555 0.0509
0.7946 0.8290 0.4258
0.8290 0.7946 0.9258
0.9342 0.3473 0.7150
```

(20)
DFT (PBE) results for a relaxed structure of La2Sm4P3N2.

Computed properties:
Its density of states at the Fermi level is 5.493 states/eV per cell. The calculation puts the calculated volume at 259.2 Å³/cell. The uncorrected formation energy is -1.270 eV/atom. As for the space group: I4/mmm (139).

Cell and atoms, written as POSCAR:
```
La2Sm4P3N2
1.0
-2.3199 2.3199 12.0391
2.3199 -2.3199 12.0391
2.3199 2.3199 -12.0391
La Sm P N
2 4 3 2
direct
0.1966 0.1966 0.0000
0.8034 0.8034 0.0000
0.0777 0.5777 0.5000
0.4223 0.9223 0.5000
0.5777 0.0777 0.5000
0.9223 0.4223 0.5000
0.3278 0.3278 0.0000
0.5000 0.5000 0.0000
0.6722 0.6722 0.0000
0.1012 0.1012 0.0000
0.8988 0.8988 0.0000
```